<A>
# Ac3SnPb2 | Alexandria via LeMat-Bulk | PBE | relaxed
data_Ac3SnPb2
_chemical_formula_sum 'Ac12 Sn4 Pb8'
_cell_length_a 13.789
_cell_length_b 4.955
_cell_length_c 13.143
_cell_angle_alpha 90.00
_cell_angle_beta 90.00
_cell_angle_gamma 90.00
_symmetry_space_group_name_H-M 'P n m a'
_symmetry_Int_Tables_number 62
loop_
_symmetry_equiv_pos_as_xyz
'x,y,z'
'-x,-y,-z'
'-x+1/2,-y,z+1/2'
'x+1/2,y,-z+1/2'
'x+1/2,-y+1/2,-z+1/2'
'-x+1/2,y+1/2,z+1/2'
'-x,y+1/2,-z'
'x,-y+1/2,z'
loop_
_atom_site_label
_atom_site_type_symbol
_atom_site_fract_x
_atom_site_fract_y
_atom_site_fract_z
Ac1 Ac 0.049 0.250 0.119
Ac2 Ac 0.121 0.750 0.558
Ac3 Ac 0.224 0.250 0.798
Sn1 Sn 0.126 0.250 0.373
Pb1 Pb 0.001 0.250 0.700
Pb2 Pb 0.188 0.750 0.017
# Calculated volume = 37.41 Å³/atom

<B>
# Ac3SnPb2 | Alexandria via LeMat-Bulk | PBE | relaxed
data_Ac3SnPb2
_chemical_formula_sum 'Ac12 Sn4 Pb8'
_cell_length_a 18.261
_cell_length_b 6.953
_cell_length_c 6.895
_cell_angle_alpha 90.00
_cell_angle_beta 101.97
_cell_angle_gamma 90.00
_symmetry_space_group_name_H-M 'C 1 2/c 1'
_symmetry_Int_Tables_number 15
loop_
_symmetry_equiv_pos_as_xyz
'x,y,z'
'-x,-y,-z'
'-x,y,-z+1/2'
'x,-y,z+1/2'
'x+1/2,y+1/2,z'
'-x+1/2,-y+1/2,-z'
'-x+1/2,y+1/2,-z+1/2'
'x+1/2,-y+1/2,z+1/2'
loop_
_atom_site_label
_atom_site_type_symbol
_atom_site_fract_x
_atom_site_fract_y
_atom_site_fract_z
Ac1 Ac 0.000 0.136 0.250
Ac2 Ac 0.167 0.381 0.610
Sn1 Sn 0.000 0.366 0.750
Pb1 Pb 0.162 0.110 0.065
# Calculated volume = 35.68 Å³/atom

Relative to the most stable one, in eV/atom, the structures come out at <A> 0.000; <B> 0.009.

<A>
# AcSn3Pb3 | Alexandria via LeMat-Bulk | PBE | relaxed
data_AcSn3Pb3
_chemical_formula_sum 'Ac4 Sn12 Pb12'
_cell_length_a 9.522
_cell_length_b 10.377
_cell_length_c 9.319
_cell_angle_alpha 90.00
_cell_angle_beta 91.73
_cell_angle_gamma 90.00
_symmetry_space_group_name_H-M 'C 1 2/m 1'
_symmetry_Int_Tables_number 12
loop_
_symmetry_equiv_pos_as_xyz
'x,y,z'
'-x,-y,-z'
'-x,y,-z'
'x,-y,z'
'x+1/2,y+1/2,z'
'-x+1/2,-y+1/2,-z'
'-x+1/2,y+1/2,-z'
'x+1/2,-y+1/2,z'
loop_
_atom_site_label
_atom_site_type_symbol
_atom_site_fract_x
_atom_site_fract_y
_atom_site_fract_z
Ac1 Ac 0.250 0.000 0.022
Sn1 Sn 0.042 0.500 0.279
Sn2 Sn 0.244 0.231 0.746
Pb1 Pb 0.000 0.239 0.500
Pb2 Pb 0.000 0.246 0.000
Pb3 Pb 0.240 0.000 0.436
# Calculated volume = 32.87 Å³/atom

<B>
# AcSn3Pb3 | Alexandria via LeMat-Bulk | PBE | relaxed
data_AcSn3Pb3
_chemical_formula_sum 'Ac2 Sn6 Pb6'
_cell_length_a 8.312
_cell_length_b 8.312
_cell_length_c 8.312
_cell_angle_alpha 90.00
_cell_angle_beta 90.00
_cell_angle_gamma 90.00
_symmetry_space_group_name_H-M 'P m -3 n'
_symmetry_Int_Tables_number 223
_symmetry_space_group_name_Hall '-P 4n 2 3'
loop_
_atom_site_label
_atom_site_type_symbol
_atom_site_fract_x
_atom_site_fract_y
_atom_site_fract_z
Ac1 Ac 0.000 0.000 0.000
Sn1 Sn 0.000 0.250 0.500
Pb1 Pb 0.000 0.500 0.250
# Calculated volume = 41.02 Å³/atom

Relative to the most stable one, in eV/atom, the structures come out at <A> 0.000; <B> 0.479.

<A>
# Ac2Sn2Pb | Alexandria via LeMat-Bulk | PBE | relaxed
data_Ac2Sn2Pb
_chemical_formula_sum 'Ac4 Sn4 Pb2'
_cell_length_a 4.693
_cell_length_b 16.240
_cell_length_c 4.505
_cell_angle_alpha 90.00
_cell_angle_beta 90.00
_cell_angle_gamma 90.00
_symmetry_space_group_name_H-M 'C m m m'
_symmetry_Int_Tables_number 65
_symmetry_space_group_name_Hall '-C 2 2'
loop_
_atom_site_label
_atom_site_type_symbol
_atom_site_fract_x
_atom_site_fract_y
_atom_site_fract_z
Ac1 Ac 0.000 0.127 0.000
Sn1 Sn 0.000 0.305 0.500
Pb1 Pb 0.000 0.500 0.500
# Calculated volume = 34.34 Å³/atom

<B>
# Ac2Sn2Pb | Alexandria via LeMat-Bulk | PBE | relaxed
data_Ac2Sn2Pb
_chemical_formula_sum 'Ac4 Sn4 Pb2'
_cell_length_a 8.451
_cell_length_b 8.451
_cell_length_c 4.831
_cell_angle_alpha 90.00
_cell_angle_beta 90.00
_cell_angle_gamma 90.00
_symmetry_space_group_name_H-M 'P 4/m b m'
_symmetry_Int_Tables_number 127
_symmetry_space_group_name_Hall '-P 4 2ab'
loop_
_atom_site_label
_atom_site_type_symbol
_atom_site_fract_x
_atom_site_fract_y
_atom_site_fract_z
Ac1 Ac 0.177 0.323 0.000
Sn1 Sn 0.123 0.623 0.500
Pb1 Pb 0.000 0.000 0.500
# Calculated volume = 34.50 Å³/atom

Relative to the most stable one, in eV/atom, the structures come out at <A> 0.068; <B> 0.000.